A relaxed RbTlPb crystal. Source: the Alexandria database, functional PBE.

abc: 5.6674 5.6687 9.1266
angles: 107.56 107.67 91.29
Element x y z (fractional)
Rb (0.0000, 0.0000, 0.0000)
Rb (0.3317, 0.3305, 0.6621)
Tl (0.1654, 0.6651, 0.3309)
Tl (0.6657, 0.1662, 0.3310)
Pb (0.5674, 0.5691, 0.1368)
Pb (0.7635, 0.7634, 0.5253)

Output
* V: 44.0 A^3/atom
* N(E_F): 2.37 states/eV/f.u.
* space group: P1, No. 1
* ΔE_f: -77 meV per atom